Entry 1:
Below is HfFeSb3 at its PBEsol-relaxed geometry, with properties calculated at the meta-GGA SCAN level.

Summary:
The crystal system is cubic. As for the uncorrected formation energy: 807 meV per atom. The size of the total moment is 3.61 μB per cell.

a b c (Å): 5.379 5.379 5.379
angles (deg): 90.00 90.00 90.00
Space group Pm-3m (No. 221)
Symmetry-distinct sites (fractional):
1 Hf 0.000 0.000 0.000
2 Fe 0.500 0.500 0.500
3 Sb 0.000 0.000 0.500


Entry 2:
Below is HfFeSb2Te at its PBEsol-relaxed geometry, with properties calculated at the meta-GGA SCAN level.

Summary:
The crystal system is tetragonal. As for the uncorrected formation energy: 639 meV per atom. The size of the total moment is 2.25 μB per cell.

a b c (Å): 4.710 4.710 5.300
angles (deg): 90.00 90.00 90.00
Space group P4/mmm (No. 123)
Symmetry-distinct sites (fractional):
1 Hf 0.000 0.000 0.000
2 Fe 0.500 0.500 0.500
3 Sb 0.000 0.500 0.500
4 Te 0.500 0.500 0.000


Entry 3:
Below is HfFeSi at its PBEsol-relaxed geometry, with properties calculated at the meta-GGA SCAN level.

Summary:
The crystal system is orthorhombic. As for the uncorrected formation energy: -697 meV per atom. The size of the total moment is 0.00 μB per cell.

a b c (Å): 6.288 3.945 6.813
angles (deg): 90.00 90.00 90.00
Space group Pnma (No. 62)
Symmetry-distinct sites (fractional):
1 Hf 0.009 0.250 0.198
2 Fe 0.157 0.750 0.438
3 Si 0.209 0.250 0.607


Entry 4:
Below is HfFeSi2 at its PBEsol-relaxed geometry, with properties calculated at the meta-GGA SCAN level.

Summary:
The crystal system is orthorhombic. As for the uncorrected formation energy: -602 meV per atom. The size of the total moment is 0.01 μB per cell.

a b c (Å): 5.086 7.646 16.749
angles (deg): 90.00 90.00 90.00
Space group Immm (No. 71)
Symmetry-distinct sites (fractional):
1 Hf 0.000 0.000 0.142
2 Hf 0.000 0.263 0.404
3 Fe 0.000 0.254 0.000
4 Fe 0.250 0.250 0.250
5 Si 0.000 0.000 0.298
6 Si 0.000 0.348 0.139
7 Si 0.000 0.500 0.285
8 Si 0.243 0.000 0.500
9 Si 0.246 0.500 0.500


Entry 5:
Below is Hf2FeSi2 at its PBEsol-relaxed geometry, with properties calculated at the meta-GGA SCAN level.

Summary:
The crystal system is tetragonal. As for the uncorrected formation energy: -101 meV per atom. The size of the total moment is 1.75 μB per cell.

a b c (Å): 3.296 3.296 15.105
angles (deg): 90.00 90.00 90.00
Space group I4/mmm (No. 139)
Symmetry-distinct sites (fractional):
1 Hf 0.000 0.000 0.100
2 Fe 0.000 0.000 0.500
3 Si 0.000 0.500 0.250


Entry 6:
Below is Hf2FeSi2 at its PBEsol-relaxed geometry, with properties calculated at the meta-GGA SCAN level.

Summary:
The crystal system is tetragonal. As for the uncorrected formation energy: -655 meV per atom. The size of the total moment is 0.00 μB per cell.

a b c (Å): 6.082 6.082 4.100
angles (deg): 90.00 90.00 90.00
Space group P4/mbm (No. 127)
Symmetry-distinct sites (fractional):
1 Hf 0.173 0.327 0.000
2 Fe 0.000 0.000 0.500
3 Si 0.140 0.640 0.500